Entry 1:
The following is a GGA-PBE calculation of CoAg2Rh after structural relaxation, from Alexandria via LeMat-Bulk.

Calculated values
total magnetic moment	0.584	μB per atom

```
data_CoAg2Rh
_chemical_formula_sum 'Co2 Ag4 Rh2'
_space_group_name_H-M_alt 'C m m m'
_space_group_IT_number 65
_space_group_name_Hall '-C 2 2'
_cell_length_a 2.813
_cell_length_b 4.643
_cell_length_c 9.475
_cell_angle_alpha 90.00
_cell_angle_beta 90.00
_cell_angle_gamma 90.00
loop_
_atom_site_label
_atom_site_type_symbol
_atom_site_fract_x
_atom_site_fract_y
_atom_site_fract_z
Co1 Co 0.000 0.000 0.000
Ag1 Ag 0.000 0.500 0.242
Rh1 Rh 0.000 0.000 0.500
```


Entry 2:
The following is a GGA-PBE calculation of CoAgRh2 after structural relaxation, from Alexandria via LeMat-Bulk.

Calculated values
total magnetic moment	1.015	μB per atom

```
data_CoAgRh2
_chemical_formula_sum 'Co4 Ag4 Rh8'
_space_group_name_H-M_alt 'F m -3 m'
_space_group_IT_number 225
_space_group_name_Hall '-F 4 2 3'
_cell_length_a 6.176
_cell_length_b 6.176
_cell_length_c 6.176
_cell_angle_alpha 90.00
_cell_angle_beta 90.00
_cell_angle_gamma 90.00
loop_
_atom_site_label
_atom_site_type_symbol
_atom_site_fract_x
_atom_site_fract_y
_atom_site_fract_z
Co1 Co 0.000 0.000 0.000
Ag1 Ag 0.000 0.000 0.500
Rh1 Rh 0.250 0.250 0.250
```


Entry 3:
The following is a GGA-PBE calculation of CoAgRh2 after structural relaxation, from Alexandria via LeMat-Bulk.

Calculated values
total magnetic moment	0.437	μB per atom

```
data_CoAgRh2
_chemical_formula_sum 'Co1 Ag1 Rh2'
_space_group_name_H-M_alt 'P 4 m m'
_space_group_IT_number 99
_cell_length_a 2.738
_cell_length_b 2.738
_cell_length_c 7.672
_cell_angle_alpha 90.00
_cell_angle_beta 90.00
_cell_angle_gamma 90.00
loop_
_space_group_symop_operation_xyz
'x,y,z'
'-y,x,z'
'-x,-y,z'
'y,-x,z'
'-x,y,z'
'y,x,z'
'x,-y,z'
'-y,-x,z'
loop_
_atom_site_label
_atom_site_type_symbol
_atom_site_fract_x
_atom_site_fract_y
_atom_site_fract_z
Co1 Co 0.000 0.000 0.000
Ag1 Ag 0.500 0.500 0.742
Rh1 Rh 0.000 0.000 0.463
Rh2 Rh 0.500 0.500 0.217
```


Entry 4:
The following is a GGA-PBE calculation of CoAgRh2 after structural relaxation, from Alexandria via LeMat-Bulk.

Calculated values
total magnetic moment	0.675	μB per atom

```
data_CoAgRh2
_chemical_formula_sum 'Co1 Ag1 Rh2'
_space_group_name_H-M_alt 'P m m 2'
_space_group_IT_number 25
_cell_length_a 2.727
_cell_length_b 3.781
_cell_length_c 5.626
_cell_angle_alpha 90.00
_cell_angle_beta 90.00
_cell_angle_gamma 90.00
loop_
_space_group_symop_operation_xyz
'x,y,z'
'-x,-y,z'
'-x,y,z'
'x,-y,z'
loop_
_atom_site_label
_atom_site_type_symbol
_atom_site_fract_x
_atom_site_fract_y
_atom_site_fract_z
Co1 Co 0.000 0.000 0.000
Ag1 Ag 0.500 0.500 0.731
Rh1 Rh 0.000 0.000 0.453
Rh2 Rh 0.500 0.500 0.214
```


Entry 5:
The following is a GGA-PBE calculation of CoAgRh2 after structural relaxation, from Alexandria via LeMat-Bulk.

Calculated values
total magnetic moment	0.511	μB per atom

```
data_CoAgRh2
_chemical_formula_sum 'Co2 Ag2 Rh4'
_space_group_name_H-M_alt 'C m m 2'
_space_group_IT_number 35
_cell_length_a 2.750
_cell_length_b 4.625
_cell_length_c 9.219
_cell_angle_alpha 90.00
_cell_angle_beta 90.00
_cell_angle_gamma 90.00
loop_
_space_group_symop_operation_xyz
'x,y,z'
'-x,-y,z'
'-x,y,z'
'x,-y,z'
'x+1/2,y+1/2,z'
'-x+1/2,-y+1/2,z'
'-x+1/2,y+1/2,z'
'x+1/2,-y+1/2,z'
loop_
_atom_site_label
_atom_site_type_symbol
_atom_site_fract_x
_atom_site_fract_y
_atom_site_fract_z
Co1 Co 0.000 0.000 0.000
Ag1 Ag 0.000 0.500 0.254
Rh1 Rh 0.000 0.000 0.523
Rh2 Rh 0.000 0.500 0.773
```


Entry 6:
The following is a GGA-PBE calculation of CoAgRh after structural relaxation, from Alexandria via LeMat-Bulk.

Calculated values
total magnetic moment	0.885	μB per atom

```
data_CoAgRh
_chemical_formula_sum 'Co2 Ag2 Rh2'
_space_group_name_H-M_alt 'I m m 2'
_space_group_IT_number 44
_cell_length_a 2.775
_cell_length_b 3.550
_cell_length_c 8.919
_cell_angle_alpha 90.00
_cell_angle_beta 90.00
_cell_angle_gamma 90.00
loop_
_space_group_symop_operation_xyz
'x,y,z'
'-x,-y,z'
'-x,y,z'
'x,-y,z'
'x+1/2,y+1/2,z+1/2'
'-x+1/2,-y+1/2,z+1/2'
'-x+1/2,y+1/2,z+1/2'
'x+1/2,-y+1/2,z+1/2'
loop_
_atom_site_label
_atom_site_type_symbol
_atom_site_fract_x
_atom_site_fract_y
_atom_site_fract_z
Co1 Co 0.000 0.000 0.000
Ag1 Ag 0.000 0.000 0.321
Rh1 Rh 0.000 0.000 0.631
```


Entry 7:
The following is a GGA-PBE calculation of CoAg2Rh after structural relaxation, from Alexandria via LeMat-Bulk.

Calculated values
total magnetic moment	0.660	μB per atom

```
data_CoAg2Rh
_chemical_formula_sum 'Co4 Ag8 Rh4'
_space_group_name_H-M_alt 'I -4 2 d'
_space_group_IT_number 122
_space_group_name_Hall 'I -4 2bw'
_cell_length_a 7.208
_cell_length_b 7.208
_cell_length_c 5.191
_cell_angle_alpha 90.00
_cell_angle_beta 90.00
_cell_angle_gamma 90.00
loop_
_atom_site_label
_atom_site_type_symbol
_atom_site_fract_x
_atom_site_fract_y
_atom_site_fract_z
Co1 Co 0.000 0.000 0.000
Ag1 Ag 0.230 0.250 0.125
Rh1 Rh 0.000 0.000 0.500
```


Entry 8:
The following is a GGA-PBE calculation of CoAg2Rh after structural relaxation, from Alexandria via LeMat-Bulk.

Calculated values
total magnetic moment	0.646	μB per atom

```
data_CoAg2Rh
_chemical_formula_sum 'Co2 Ag4 Rh2'
_space_group_name_H-M_alt 'I m m m'
_space_group_IT_number 71
_space_group_name_Hall '-I 2 2'
_cell_length_a 2.885
_cell_length_b 4.522
_cell_length_c 9.445
_cell_angle_alpha 90.00
_cell_angle_beta 90.00
_cell_angle_gamma 90.00
loop_
_atom_site_label
_atom_site_type_symbol
_atom_site_fract_x
_atom_site_fract_y
_atom_site_fract_z
Co1 Co 0.000 0.000 0.000
Ag1 Ag 0.000 0.500 0.262
Rh1 Rh 0.000 0.000 0.500
```


Entry 9:
The following is a GGA-PBE calculation of CoAgRh2 after structural relaxation, from Alexandria via LeMat-Bulk.

Calculated values
total magnetic moment	0.763	μB per atom

```
data_CoAgRh2
_chemical_formula_sum 'Co2 Ag2 Rh4'
_space_group_name_H-M_alt 'C 1 m 1'
_space_group_IT_number 8
_cell_length_a 9.028
_cell_length_b 2.730
_cell_length_c 4.782
_cell_angle_alpha 90.00
_cell_angle_beta 100.42
_cell_angle_gamma 90.00
loop_
_space_group_symop_operation_xyz
'x,y,z'
'x,-y,z'
'x+1/2,y+1/2,z'
'x+1/2,-y+1/2,z'
loop_
_atom_site_label
_atom_site_type_symbol
_atom_site_fract_x
_atom_site_fract_y
_atom_site_fract_z
Co1 Co 0.000 0.000 0.000
Ag1 Ag 0.254 0.500 0.255
Rh1 Rh 0.013 0.500 0.537
Rh2 Rh 0.260 0.000 0.762
```


Entry 10:
The following is a GGA-PBE calculation of CoAg2Rh after structural relaxation, from Alexandria via LeMat-Bulk.

Calculated values
total magnetic moment	0.611	μB per atom

```
data_CoAg2Rh
_chemical_formula_sum 'Co1 Ag2 Rh1'
_space_group_name_H-M_alt 'P 4/m m m'
_space_group_IT_number 123
_space_group_name_Hall '-P 4 2'
_cell_length_a 2.731
_cell_length_b 2.731
_cell_length_c 8.190
_cell_angle_alpha 90.00
_cell_angle_beta 90.00
_cell_angle_gamma 90.00
loop_
_atom_site_label
_atom_site_type_symbol
_atom_site_fract_x
_atom_site_fract_y
_atom_site_fract_z
Co1 Co 0.000 0.000 0.000
Ag1 Ag 0.500 0.500 0.240
Rh1 Rh 0.000 0.000 0.500
```


Number 1: N(E_F) 1.196 states/eV per atom, ΔE_f 0.4048 eV/atom, energy relative to the lowest polymorph listed for this composition 0.2248 eV per atom. Number 2: N(E_F) 1.018 states/eV per atom, ΔE_f 0.3732 eV/atom, energy relative to the lowest polymorph listed for this composition 0.2307 eV per atom. Number 3: N(E_F) 1.416 states/eV per atom, ΔE_f 0.2094 eV/atom, energy relative to the lowest polymorph listed for this composition 0.0669 eV per atom. Number 4: N(E_F) 1.573 states/eV per atom, ΔE_f 0.2567 eV/atom, energy relative to the lowest polymorph listed for this composition 0.1142 eV per atom. Number 5: N(E_F) 1.536 states/eV per atom, ΔE_f 0.3256 eV/atom, energy relative to the lowest polymorph listed for this composition 0.1831 eV per atom. Number 6: N(E_F) 1.003 states/eV per atom, ΔE_f 0.2788 eV/atom, energy relative to the lowest polymorph listed for this composition 0.0678 eV per atom. Number 7: N(E_F) 1.534 states/eV per atom, ΔE_f 0.7643 eV/atom, energy relative to the lowest polymorph listed for this composition 0.5843 eV per atom. Number 8: N(E_F) 1.215 states/eV per atom, ΔE_f 0.3706 eV/atom, energy relative to the lowest polymorph listed for this composition 0.1906 eV per atom. Number 9: N(E_F) 1.570 states/eV per atom, ΔE_f 0.2815 eV/atom, energy relative to the lowest polymorph listed for this composition 0.1390 eV per atom. Number 10: N(E_F) 1.322 states/eV per atom, ΔE_f 0.4111 eV/atom, energy relative to the lowest polymorph listed for this composition 0.2311 eV per atom.